Material: Ca2Zn3AgAu12
Method: DFT, GGA-PBE
State: optimized geometry

Cell lengths 8.7199, 8.7199, 18.5872 Å; angles 90.00, 90.00, 120.00 degrees
Space group R-3m (No. 166, hexagonal axes)
Symmetry-distinct sites (fractional):
Ca 0.0000 0.0000 0.1022 [6 per cell]
Zn 0.0000 0.5000 0.0000 [9 per cell]
Ag 0.0000 0.0000 0.5000 [3 per cell]
Au 0.0205 0.5102 0.8631 [18 per cell]
Au 0.0233 0.5117 0.3780 [18 per cell]

ρ = 11184 kg/m3
M_tot = 0.00 μB/cell
E_tot = -51.18 eV/f.u.
Energy of formation from the pure elements = -0.0653 eV per atom